(1)
A relaxed HoNiPH crystal. Source: Alexandria, functional PBE.

Unit cell a=3.809 b=3.809 c=7.146 alpha=90.00 beta=90.00 gamma=90.00
Positions (direct):
Ho  0.500  0.000  0.669
Ho  0.000  0.500  0.331
Ni  0.500  0.500  0.000
Ni  0.000  0.000  0.000
P  0.000  0.500  0.825
P  0.500  0.000  0.175
H  0.000  0.000  0.500
H  0.500  0.500  0.500

Summary:
SG: P4/nmm
VASP energy (eV/atom): -5.7351


(2)
A relaxed LiInPd3 crystal. Source: Alexandria, functional PBE.

Unit cell a=4.313 b=4.313 c=4.313 alpha=90.00 beta=90.00 gamma=90.00
Positions (direct):
Li  0.000  0.000  0.000
Pd  0.000  0.500  0.000
Pd  0.000  0.000  0.500
Pd  0.500  0.000  0.000
In  0.500  0.500  0.500

Summary:
SG: Pm-3m
Energy above the most stable polymorph in this dataset (kJ/mol of formula units): 209
Energy relative to the elements (eV per atom): -0.08


(3)
A relaxed ScCuIr2 crystal. Source: Alexandria, functional PBE.

Unit cell a=5.273 b=5.273 c=4.632 alpha=63.43 beta=63.43 gamma=32.01
Positions (direct):
Cu  0.259  0.259  0.314
Ir  0.003  0.003  0.914
Ir  0.741  0.741  0.843
Sc  0.498  0.498  0.429

Summary:
SG: Cm
Energy relative to the elements (eV per atom): -0.38


(4)
A relaxed Ba3Nd4O9 crystal. Source: Alexandria, functional PBE.

Unit cell a=6.332 b=6.332 c=9.635 alpha=70.82 beta=70.82 gamma=60.00
Positions (direct):
Ba  0.003  0.003  0.992
Ba  0.833  0.833  0.502
Ba  0.429  0.429  0.712
Nd  0.573  0.573  0.282
Nd  0.135  0.135  0.596
Nd  0.262  0.262  0.213
Nd  0.699  0.699  0.903
O  0.951  0.387  0.088
O  0.574  0.951  0.088
O  0.387  0.574  0.088
O  0.871  0.272  0.423
O  0.435  0.871  0.423
O  0.272  0.435  0.423
O  0.829  0.420  0.749
O  0.420  0.002  0.749
O  0.002  0.829  0.749

Summary:
E_form (uncorrected) (kJ/mol of formula units): -4632
SG: R3


(5)
A relaxed LaSm2Dy3Y6 crystal. Source: Alexandria, functional PBE.

Unit cell a=6.220 b=6.220 c=11.861 alpha=95.00 beta=95.00 gamma=119.97
Positions (direct):
La  0.000  0.000  0.000
Sm  0.333  0.667  0.000
Sm  0.667  0.333  0.000
Dy  0.167  0.833  0.500
Dy  0.833  0.167  0.500
Dy  0.500  0.500  0.500
Y  0.915  0.581  0.747
Y  0.750  0.750  0.253
Y  0.085  0.419  0.253
Y  0.581  0.915  0.747
Y  0.250  0.250  0.747
Y  0.419  0.085  0.253

Summary:
SG: C2/m
Energy relative to the elements (eV per atom): 0.02


(6)
A relaxed CuRhBr2 crystal. Source: Alexandria, functional PBE.

Unit cell a=6.371 b=6.371 c=3.472 alpha=80.33 beta=80.33 gamma=36.36
Positions (direct):
Br  0.044  0.044  0.242
Br  0.750  0.750  0.639
Cu  0.440  0.440  0.493
Rh  0.266  0.266  0.125

Summary:
E_form (uncorrected) (kJ/mol of formula units): 78
SG: Cm
Energy above the most stable polymorph in this dataset (kJ/mol of formula units): 82